Entry 1:
The following is a DFT calculation (PBEsol) of crystalline Cr4ReRh at its relaxed geometry.

Properties
theoretical density = 11.441 Mg/m³
calculated formation energy = -0.019 eV per atom

a = 4.673 Å, b = 4.673 Å, c = 4.673 Å
α = 60.00°, β = 60.00°, γ = 60.00°
Element x y z (fractional)
Cr: 0.376 0.376 0.376
Cr: 0.376 0.376 0.873
Cr: 0.376 0.873 0.376
Cr: 0.873 0.376 0.376
Re: 0.750 0.750 0.750
Rh: 0.000 0.000 0.000

Entry 2:
The following is a DFT calculation (PBEsol) of crystalline CrReS2 at its relaxed geometry.

Properties
total DFT energy (no corrections) = -8.099 eV per atom
theoretical density = 10.470 Mg/m³

a = 4.078 Å, b = 4.078 Å, c = 4.078 Å
α = 60.00°, β = 60.00°, γ = 60.00°
Element x y z (fractional)
Cr: 0.000 0.000 0.000
Re: 0.500 0.500 0.500
S: 0.250 0.250 0.250
S: 0.750 0.750 0.750

Entry 3:
The following is a DFT calculation (PBEsol) of crystalline CrReSb at its relaxed geometry.

Properties
E above lowest polymorph = 0 meV/atom
theoretical density = 11.097 Mg/m³

a = 4.239 Å, b = 4.239 Å, c = 4.239 Å
α = 60.00°, β = 60.00°, γ = 60.00°
Element x y z (fractional)
Cr: 0.000 0.000 0.000
Re: 0.750 0.750 0.750
Sb: 0.500 0.500 0.500